Ta2TlRe2 | GGA-PBE | optimized geometry

## Properties
N(E_F) = 4.0 states/eV/f.u.
ΔE_f = 0.461 eV/atom
VASP energy = -97.33 eV per cell
distance to the lowest polymorph of the same formula = 0.000 eV per atom

a b c (Å): 7.9128 7.9128 3.0209
angles (deg): 90.00 90.00 90.00
Closest atoms and distances in Å follow each position.
Space group P4/mbm (No. 127)
Inequivalent atoms, fractional coordinates:
Ta1 0.1421 0.3579 0.0000 [4 per cell]  6 Re 2.73-2.82, 2 Ta 3.02, 2 Tl 3.05
Tl1 0.0000 0.0000 0.0000 [2 per cell]  2 Tl 3.02, 4 Ta 3.05
Re1 0.1453 0.6453 0.5000 [4 per cell]  6 Ta 2.73-2.82, 2 Re 3.02